This record from the Alexandria database describes a geometry-optimized Be2VSnO structure. The functional is PBE with a Hubbard U.

Crystal system = tetragonal
Volume = 15.72 A^3/atom
Energy = -4.378 eV/atom

```
Be2VSnO
1.0
4.6552 0.0000 0.0000
0.0000 3.6263 0.0000
0.0000 0.0000 4.6552
Be Sn O V
2 1 1 1
direct
0.0000 0.0000 0.5000
0.5000 0.0000 0.0000
0.5000 0.5000 0.5000
0.0000 0.5000 0.0000
0.0000 0.0000 0.0000
```